The following is a DFT calculation (PBE-GGA) of Y2HoCu4Si2Ge2 after structural relaxation.

The structure belongs to space group Immm (No. 71); the cell edges are 4.1749, 6.5807 and 13.7741 Å and the angles 90.00°, 90.00° and 90.00°. Symmetry generates all atoms from Y at (0.0000, 0.0000, 0.1295), Ho at (0.0000, 0.5000, 0.0000), Cu at (0.0000, 0.1896, 0.3369), Si at (0.0000, 0.3160, 0.5000) and Ge at (0.0000, 0.5000, 0.2163).

The spin magnetization is 0.000 μB per atom. The energy above the most stable polymorph in this dataset is 0.7 kJ/mol of atoms.


The following is a DFT calculation (PBE-GGA) of Y2HoCu4Si2Ge2 after structural relaxation.

The structure belongs to space group Immm (No. 71); the cell edges are 4.1442, 6.6064 and 13.8284 Å and the angles 90.00°, 90.00° and 90.00°. Symmetry generates all atoms from Y at (0.0000, 0.0000, 0.1296), Ho at (0.0000, 0.5000, 0.0000), Cu at (0.0000, 0.1901, 0.3260), Si at (0.0000, 0.5000, 0.2162) and Ge at (0.0000, 0.3063, 0.5000).

The spin magnetization is 0.000 μB per atom. The energy above the most stable polymorph in this dataset is 0.0 kJ/mol of atoms.


The following is a DFT calculation (PBE-GGA) of YHo2Cu4Si2Ge2 after structural relaxation.

The structure belongs to space group Immm (No. 71); the cell edges are 4.1757, 6.5964 and 13.7972 Å and the angles 90.00°, 90.00° and 90.00°. Symmetry generates all atoms from Y at (0.0000, 0.0000, 0.0000), Ho at (0.0000, 0.5000, 0.1290), Cu at (0.0000, 0.3086, 0.3366), Si at (0.0000, 0.1827, 0.5000) and Ge at (0.0000, 0.0000, 0.2172).

The spin magnetization is 0.000 μB per atom. The energy above the most stable polymorph in this dataset is 0.7 kJ/mol of atoms.


The following is a DFT calculation (PBE-GGA) of YHo2Cu4Si2Ge2 after structural relaxation.

The structure belongs to space group Immm (No. 71); the cell edges are 4.1315, 6.6073 and 13.8066 Å and the angles 90.00°, 90.00° and 90.00°. Symmetry generates all atoms from Y at (0.0000, 0.0000, 0.0000), Ho at (0.0000, 0.5000, 0.1299), Cu at (0.0000, 0.3093, 0.3261), Si at (0.0000, 0.0000, 0.2169) and Ge at (0.0000, 0.1921, 0.5000).

The spin magnetization is 0.001 μB per atom. The energy above the most stable polymorph in this dataset is 0.0 kJ/mol of atoms.


The following is a DFT calculation (PBE-GGA) of SmHoCu2Ge2 after structural relaxation.

The structure belongs to space group P3m1 (No. 156); the cell edges are 4.2614, 4.2614 and 7.4517 Å and the angles 90.00°, 90.00° and 120.00°. Symmetry generates all atoms from Sm at (0.0000, 0.0000, 0.0000), Ho at (0.0000, 0.0000, 0.5011), Cu at (0.3333, 0.6667, 0.7250), Cu at (0.6667, 0.3333, 0.2393), Ge at (0.3333, 0.6667, 0.2738) and Ge at (0.6667, 0.3333, 0.7620).

The spin magnetization is 0.001 μB per atom. The value obtained for the total energy is -0.36819 Ry per atom.


The following is a DFT calculation (PBE-GGA) of SmHo2Cu4Sn2Ge2 after structural relaxation.

The structure belongs to space group Immm (No. 71); the cell edges are 4.3473, 6.7494 and 14.5265 Å and the angles 90.00°, 90.00° and 90.00°. Symmetry generates all atoms from Sm at (0.0000, 0.0000, 0.0000), Ho at (0.0000, 0.5000, 0.1246), Cu at (0.0000, 0.3103, 0.3412), Sn at (0.0000, 0.0000, 0.2194) and Ge at (0.0000, 0.1880, 0.5000).

The spin magnetization is 0.000 μB per atom. The value obtained for the total energy is -0.35085 Ry per atom.


The following is a DFT calculation (PBE-GGA) of TbHo2Cu4Sn2Ge2 after structural relaxation.

The structure belongs to space group Immm (No. 71); the cell edges are 4.3375, 6.7139 and 14.4620 Å and the angles 90.00°, 90.00° and 90.00°. Symmetry generates all atoms from Tb at (0.0000, 0.0000, 0.0000), Ho at (0.0000, 0.5000, 0.1248), Cu at (0.0000, 0.3102, 0.3403), Sn at (0.0000, 0.0000, 0.2184) and Ge at (0.0000, 0.1903, 0.5000).

The spin magnetization is 0.000 μB per atom. The energy above the most stable polymorph in this dataset is 0.0 kJ/mol of atoms.


The following is a DFT calculation (PBE-GGA) of TbHo2Cu4Sn2Ge2 after structural relaxation.

The structure belongs to space group Immm (No. 71); the cell edges are 4.2832, 6.9463 and 14.2878 Å and the angles 90.00°, 90.00° and 90.00°. Symmetry generates all atoms from Tb at (0.0000, 0.0000, 0.0000), Ho at (0.0000, 0.5000, 0.1353), Cu at (0.0000, 0.3118, 0.3224), Sn at (0.0000, 0.2011, 0.5000) and Ge at (0.0000, 0.0000, 0.2167).

The spin magnetization is 0.000 μB per atom. The energy above the most stable polymorph in this dataset is 6.3 kJ/mol of atoms.


The following is a DFT calculation (PBE-GGA) of YHo2Cu4Sn2Ge2 after structural relaxation.

The structure belongs to space group Immm (No. 71); the cell edges are 4.2803, 6.9333 and 14.2901 Å and the angles 90.00°, 90.00° and 90.00°. Symmetry generates all atoms from Y at (0.0000, 0.0000, 0.0000), Ho at (0.0000, 0.5000, 0.1354), Cu at (0.0000, 0.3116, 0.3228), Sn at (0.0000, 0.2014, 0.5000) and Ge at (0.0000, 0.0000, 0.2167).

The spin magnetization is 0.000 μB per atom. The value obtained for the total energy is -0.35778 Ry per atom.


The following is a DFT calculation (PBE-GGA) of Y2HoCu4Sn2Ge2 after structural relaxation.

The structure belongs to space group Immm (No. 71); the cell edges are 4.2967, 6.9231 and 14.3528 Å and the angles 90.00°, 90.00° and 90.00°. Symmetry generates all atoms from Y at (0.0000, 0.0000, 0.1357), Ho at (0.0000, 0.5000, 0.0000), Cu at (0.0000, 0.1866, 0.3241), Sn at (0.0000, 0.2979, 0.5000) and Ge at (0.0000, 0.5000, 0.2164).

The spin magnetization is 0.000 μB per atom. The value obtained for the total energy is -0.37056 Ry per atom.


The following is a DFT calculation (PBE-GGA) of HoCuGeTe3 after structural relaxation.

The structure belongs to space group Pnma (No. 62); the cell edges are 12.0535, 4.2752 and 12.1579 Å and the angles 90.00°, 90.00° and 90.00°. Symmetry generates all atoms from Ho at (0.0310, 0.2500, 0.1884), Cu at (0.2351, 0.7500, 0.2886), Ge at (0.1842, 0.2500, 0.4822), Te at (0.0398, 0.7500, 0.3770), Te at (0.1057, 0.2500, 0.9370) and Te at (0.2076, 0.7500, 0.6757).

The spin magnetization is 0.000 μB per atom. The energy above the most stable polymorph in this dataset is 3.3 kJ/mol of atoms.


The following is a DFT calculation (PBE-GGA) of HoCuGeTe3 after structural relaxation.

The structure belongs to space group Cmcm (No. 63); the cell edges are 4.1250, 14.2351 and 11.0295 Å and the angles 90.00°, 90.00° and 90.00°. Symmetry generates all atoms from Ho at (0.0000, 0.0000, 0.0000), Cu at (0.0000, 0.4751, 0.2500), Ge at (0.0000, 0.2209, 0.7500), Te at (0.0000, 0.0944, 0.2500) and Te at (0.0000, 0.3505, 0.0714).

The spin magnetization is 0.000 μB per atom. The energy above the most stable polymorph in this dataset is 0.0 kJ/mol of atoms.


What did the second record say?
The following is a DFT calculation (PBE-GGA) of Y2HoCu4Si2Ge2 after structural relaxation.

The structure belongs to space group Immm (No. 71); the cell edges are 4.1442, 6.6064 and 13.8284 Å and the angles 90.00°, 90.00° and 90.00°. Symmetry generates all atoms from Y at (0.0000, 0.0000, 0.1296), Ho at (0.0000, 0.5000, 0.0000), Cu at (0.0000, 0.1901, 0.3260), Si at (0.0000, 0.5000, 0.2162) and Ge at (0.0000, 0.3063, 0.5000).

The spin magnetization is 0.000 μB per atom. The energy above the most stable polymorph in this dataset is 0.0 kJ/mol of atoms.